1.
PBE AcCd2GaPd2, relaxed; total moment = 0.0 μB per formula unit; space-group type = I4/mmm (139); E_tot = -3.56 eV per atom
1.0
-2.661 2.661 5.411
2.661 -2.661 5.411
2.661 2.661 -5.411
Ac Cd Ga Pd
1 2 1 2
Cartesian
0.000 0.000 0.000
2.661 0.000 2.706
0.000 2.661 2.706
0.000 0.000 5.411
0.000 0.000 3.023
0.000 0.000 7.800

=====

2.
PBE Ac3Cd2GaPd6, relaxed; total moment = 0.0 μB per formula unit; space-group type = P-3m1 (164); E_tot = -4.71 eV per atom
1.0
5.934 0.000 0.000
-2.967 5.139 0.000
0.000 0.000 9.046
Ac Cd Ga Pd
3 2 1 6
Cartesian
0.000 0.000 0.000
0.000 3.426 5.654
2.967 1.713 3.392
0.000 3.426 0.256
2.967 1.713 8.790
0.000 0.000 4.523
0.000 1.771 2.632
-1.433 4.253 2.632
1.533 0.885 6.414
1.433 4.253 2.632
4.400 0.885 6.414
2.967 3.368 6.414

=====

3.
PBE AcPmCdGa, relaxed; total moment = 0.0 μB per formula unit; space-group type = F-43m (216); E_tot = -3.57 eV per atom
1.0
0.000 3.887 3.887
3.887 0.000 3.887
3.887 3.887 0.000
Ac Pm Cd Ga
1 1 1 1
Cartesian
0.000 0.000 0.000
3.887 3.887 3.887
5.830 5.830 5.830
1.943 1.943 1.943

=====

4.
PBE AcCdGaPt3, relaxed; total moment = 0.0 μB per formula unit; space-group type = Cmcm (63); E_tot = -4.94 eV per atom
1.0
3.676 -6.313 0.000
3.676 6.313 0.000
0.000 0.000 5.895
Ac Cd Ga Pt
2 2 2 6
Cartesian
3.676 3.733 4.421
3.676 -3.733 1.474
3.676 0.377 4.421
3.676 -0.377 1.474
3.676 4.857 1.474
3.676 -4.857 4.421
1.437 0.000 0.000
1.437 0.000 2.947
3.676 2.437 1.474
3.676 -2.437 4.421
5.914 0.000 0.000
5.914 0.000 2.947

=====

5.
PBE AcCdGa2Pt2, relaxed; total moment = 0.0 μB per formula unit; space-group type = P-3m1 (164); E_tot = -4.62 eV per atom
1.0
4.486 0.000 0.000
-2.243 3.885 0.000
0.000 0.000 7.262
Ac Cd Ga Pt
1 1 2 2
Cartesian
0.000 0.000 0.000
0.000 0.000 3.631
0.000 2.590 2.260
2.243 1.295 5.003
0.000 2.590 5.108
2.243 1.295 2.155

=====

6.
PBE Ac2CdGa4Pt3, relaxed; total moment = 0.0 μB per formula unit; space-group type = P-4m2 (115); E_tot = -4.77 eV per atom
1.0
4.463 0.000 0.000
0.000 4.463 0.000
0.000 0.000 10.777
Ac Cd Ga Pt
2 1 4 3
Cartesian
0.000 2.232 2.590
2.232 0.000 8.188
0.000 0.000 5.389
0.000 0.000 0.000
0.000 2.232 6.878
2.232 0.000 3.900
2.232 2.232 0.000
0.000 2.232 9.426
2.232 0.000 1.351
2.232 2.232 5.389

=====

7.
PBE Ac2CdGa2Pt7, relaxed; total moment = 0.0 μB per formula unit; space-group type = C2/m (12); E_tot = -5.55 eV per atom
1.0
3.001 -2.971 0.000
3.001 2.971 0.000
-1.831 0.000 13.716
Ac Cd Ga Pt
2 1 2 7
Cartesian
-0.034 0.000 4.744
4.205 0.000 8.972
0.000 0.000 0.000
1.161 0.000 10.402
3.010 0.000 3.314
1.504 1.483 1.968
1.268 0.000 7.916
2.666 1.483 11.749
3.001 0.000 0.000
1.504 -1.483 1.968
2.902 0.000 5.800
2.666 -1.483 11.749

=====

8.
PBE AcCdGa2Pt4, relaxed; total moment = 0.0 μB per formula unit; space-group type = R-3m (166); E_tot = -5.09 eV per atom
1.0
2.176 1.256 9.701
-2.176 1.256 9.701
0.000 -2.513 9.701
Ac Cd Ga Pt
1 1 2 4
Cartesian
0.000 0.000 0.000
0.000 0.000 14.551
0.000 0.000 7.048
0.000 0.000 22.054
0.000 0.000 3.444
0.000 0.000 11.703
0.000 0.000 17.400
0.000 0.000 25.658

=====

9.
PBE AcPuCdGa, relaxed; total moment = 6.3 μB per formula unit; space-group type = F-43m (216); E_tot = -5.78 eV per atom
1.0
0.000 3.860 3.860
3.860 0.000 3.860
3.860 3.860 0.000
Ac Pu Cd Ga
1 1 1 1
Cartesian
0.000 0.000 0.000
3.860 3.860 3.860
5.790 5.790 5.790
1.930 1.930 1.930

=====

10.
PBE Ac2CdGa2Rh5, relaxed; total moment = 0.0 μB per formula unit; space-group type = P4/mbm (127); E_tot = -5.77 eV per atom
1.0
10.296 0.000 0.000
0.000 10.296 0.000
0.000 0.000 3.655
Ac Cd Ga Rh
4 2 4 10
Cartesian
1.839 3.309 0.000
3.309 8.457 0.000
6.987 1.839 0.000
8.457 6.987 0.000
0.000 0.000 0.000
5.148 5.148 0.000
1.224 6.372 0.000
3.924 1.224 0.000
6.372 9.072 0.000
9.072 3.924 0.000
0.000 5.148 1.827
0.683 8.072 1.827
2.224 0.683 1.827
2.924 5.831 1.827
4.465 2.924 1.827
5.148 0.000 1.827
5.831 7.372 1.827
7.372 4.465 1.827
8.072 9.613 1.827
9.613 2.224 1.827

=====

11.
PBE AcSmCdGa, relaxed; total moment = 0.0 μB per formula unit; space-group type = F-43m (216); E_tot = -3.56 eV per atom
1.0
0.000 3.880 3.880
3.880 0.000 3.880
3.880 3.880 0.000
Ac Sm Cd Ga
1 1 1 1
Cartesian
0.000 0.000 0.000
3.880 3.880 3.880
1.940 1.940 1.940
5.821 5.821 5.821

=====

12.
PBE AcCdGaSn, relaxed; total moment = 0.0 μB per formula unit; space-group type = F-43m (216); E_tot = -3.30 eV per atom
1.0
0.000 3.796 3.796
3.796 0.000 3.796
3.796 3.796 0.000
Ac Cd Ga Sn
1 1 1 1
Cartesian
0.000 0.000 0.000
1.898 1.898 1.898
5.693 5.693 5.693
3.796 3.796 3.796

=====

13.
PBE AcTbCdGa, relaxed; total moment = 0.0 μB per formula unit; space-group type = F-43m (216); E_tot = -3.53 eV per atom
1.0
0.000 3.856 3.856
3.856 0.000 3.856
3.856 3.856 0.000
Ac Tb Cd Ga
1 1 1 1
Cartesian
0.000 0.000 0.000
3.856 3.856 3.856
5.784 5.784 5.784
1.928 1.928 1.928

=====

14.
PBE AcTlCdGa, relaxed; total moment = 0.0 μB per formula unit; space-group type = F-43m (216); E_tot = -2.84 eV per atom
1.0
0.000 3.823 3.823
3.823 0.000 3.823
3.823 3.823 0.000
Ac Tl Cd Ga
1 1 1 1
Cartesian
0.000 0.000 0.000
5.735 5.735 5.735
3.823 3.823 3.823
1.912 1.912 1.912

=====

15.
PBE Ac4TlCd2Ga, relaxed; total moment = 0.0 μB per formula unit; space-group type = R-3m (166); E_tot = -3.30 eV per atom
1.0
2.864 1.653 9.375
-2.864 1.653 9.375
0.000 -3.306 9.375
Ac Tl Cd Ga
4 1 2 1
Cartesian
0.000 0.000 3.409
0.000 0.000 10.440
0.000 0.000 17.684
0.000 0.000 24.715
0.000 0.000 14.062
0.000 0.000 6.972
0.000 0.000 21.153
0.000 0.000 0.000

=====

16.
PBE Ac4Tl2CdGa, relaxed; total moment = 0.0 μB per formula unit; space-group type = R-3m (166); E_tot = -3.49 eV per atom
1.0
2.888 1.667 9.370
-2.888 1.667 9.370
0.000 -3.334 9.370
Ac Tl Cd Ga
4 2 1 1
Cartesian
0.000 0.000 3.376
0.000 0.000 10.418
0.000 0.000 17.693
0.000 0.000 24.734
0.000 0.000 6.879
0.000 0.000 21.232
0.000 0.000 14.055
0.000 0.000 0.000

=====

17.
PBE AcTmCdGa, relaxed; total moment = 0.0 μB per formula unit; space-group type = F-43m (216); E_tot = -3.47 eV per atom
1.0
0.000 3.832 3.832
3.832 0.000 3.832
3.832 3.832 0.000
Ac Tm Cd Ga
1 1 1 1
Cartesian
0.000 0.000 0.000
3.832 3.832 3.832
1.916 1.916 1.916
5.748 5.748 5.748

=====

18.
PBE Ac2ZnCd4Ga3, relaxed; total moment = 0.0 μB per formula unit; space-group type = P-4m2 (115); E_tot = -2.58 eV per atom
1.0
4.633 0.000 0.000
0.000 4.633 0.000
0.000 0.000 11.321
Ac Zn Cd Ga
2 1 4 3
Cartesian
0.000 2.317 2.787
2.317 0.000 8.535
2.317 2.317 0.000
0.000 0.000 5.661
0.000 2.317 9.881
2.317 0.000 1.440
2.317 2.317 5.661
0.000 0.000 0.000
0.000 2.317 7.232
2.317 0.000 4.089

=====

19.
PBE AcZnCdGa, relaxed; total moment = 0.0 μB per formula unit; space-group type = F-43m (216); E_tot = -2.61 eV per atom
1.0
0.000 3.669 3.669
3.669 0.000 3.669
3.669 3.669 0.000
Ac Zn Cd Ga
1 1 1 1
Cartesian
0.000 0.000 0.000
1.834 1.834 1.834
3.669 3.669 3.669
5.503 5.503 5.503

=====

20.
PBE AcZnCdGa2, relaxed; total moment = 0.0 μB per formula unit; space-group type = I-4m2 (119); E_tot = -2.91 eV per atom
1.0
-2.259 2.259 5.548
2.259 -2.259 5.548
2.259 2.259 -5.548
Ac Zn Cd Ga
1 1 1 2
Cartesian
0.000 0.000 0.000
0.000 2.259 2.774
2.259 0.000 2.774
0.000 0.000 4.276
0.000 0.000 6.821

=====

21.
PBE Ac3Zn6CdGa2, relaxed; total moment = 0.0 μB per formula unit; space-group type = P-3m1 (164); E_tot = -2.41 eV per atom
1.0
6.429 0.000 0.000
-3.215 5.568 0.000
0.000 0.000 8.413
Ac Zn Cd Ga
3 6 1 2
Cartesian
0.000 0.000 0.000
0.000 3.712 5.681
3.215 1.856 2.732
0.000 2.172 2.642
-1.334 4.482 2.642
1.881 1.086 5.770
1.334 4.482 2.642
4.548 1.086 5.770
3.215 3.396 5.770
0.000 0.000 4.206
0.000 3.712 0.505
3.215 1.856 7.908

=====

22.
PBE Ac2GdCd, relaxed; total moment = 7.3 μB per formula unit; space-group type = R-3m (166); polymorph energy (0 for the lowest one) = 0.309 eV/atom
1.0
1.889 1.090 12.939
-1.889 1.090 12.939
0.000 -2.181 12.939
Ac Gd Cd
2 1 1
Cartesian
0.000 0.000 3.464
0.000 0.000 35.352
0.000 0.000 19.408
0.000 0.000 0.000

=====

23.
PBE Ac2GdCd, relaxed; total moment = 7.6 μB per formula unit; space-group type = Fm-3m (225); polymorph energy (0 for the lowest one) = 0.091 eV/atom
1.0
0.000 4.146 4.146
4.146 0.000 4.146
4.146 4.146 0.000
Ac Gd Cd
2 1 1
Cartesian
2.073 2.073 2.073
6.218 6.218 6.218
0.000 0.000 0.000
4.146 4.146 4.146

=====

24.
PBE Ac2GdCd, relaxed; total moment = 7.5 μB per formula unit; space-group type = P4/mmm (123); polymorph energy (0 for the lowest one) = 0.000 eV/atom
1.0
3.991 0.000 0.000
0.000 3.991 0.000
0.000 0.000 9.176
Ac Gd Cd
2 1 1
Cartesian
0.000 0.000 2.092
0.000 0.000 7.084
1.996 1.996 4.588
1.996 1.996 0.000

=====

25.
PBE AcGdCdGe, relaxed; total moment = 7.4 μB per formula unit; space-group type = F-43m (216); E_tot = -6.35 eV per atom
1.0
0.000 3.842 3.842
3.842 0.000 3.842
3.842 3.842 0.000
Ac Gd Cd Ge
1 1 1 1
Cartesian
0.000 0.000 0.000
3.842 3.842 3.842
5.763 5.763 5.763
1.921 1.921 1.921

=====

26.
PBE AcGdCdHg, relaxed; total moment = 7.8 μB per formula unit; space-group type = F-43m (216); E_tot = -5.22 eV per atom
1.0
0.000 3.929 3.929
3.929 0.000 3.929
3.929 3.929 0.000
Ac Gd Cd Hg
1 1 1 1
Cartesian
0.000 0.000 0.000
3.929 3.929 3.929
1.965 1.965 1.965
5.894 5.894 5.894